# PbSO5 (GGA-PBE, relaxed)
# size of the total moment	0.000	Bohr magnetons per cell
# energy relative to the elements, uncorrected	-1.041	eV/atom
data_PbSO5
_cell_length_a 7.8819
_cell_length_b 8.0022
_cell_length_c 7.4823
_cell_angle_alpha 90.00
_cell_angle_beta 118.10
_cell_angle_gamma 90.00
_space_group_name_H-M_alt 'C 1 2/c 1'
_space_group_IT_number 15
_space_group_name_Hall '-C 2yc'
loop_
_atom_site_label
_atom_site_type_symbol
_atom_site_fract_x
_atom_site_fract_y
_atom_site_fract_z
_atom_site_occupancy
Pb1 Pb 0.0000 0.0000 0.0000 1
S1 S 0.0000 0.3802 0.2500 1
O1 O 0.0000 0.1093 0.7500 1
O2 O 0.0111 0.2750 0.0913 1
O3 O 0.1690 0.4933 0.3442 1

***

# Pb2SO (GGA-PBE, relaxed)
# distance to the lowest polymorph of the same formula	0.369	eV/atom
# size of the total moment	0.000	Bohr magnetons per cell
# energy relative to the elements, uncorrected	-0.323	eV/atom
data_Pb2SO
_cell_length_a 6.9260
_cell_length_b 6.9260
_cell_length_c 6.9260
_cell_angle_alpha 90.00
_cell_angle_beta 90.00
_cell_angle_gamma 90.00
_space_group_name_H-M_alt 'F m -3 m'
_space_group_IT_number 225
_space_group_name_Hall '-F 4 2 3'
loop_
_atom_site_label
_atom_site_type_symbol
_atom_site_fract_x
_atom_site_fract_y
_atom_site_fract_z
_atom_site_occupancy
Pb1 Pb 0.2500 0.2500 0.2500 1
S1 S 0.0000 0.0000 0.0000 1
O1 O 0.0000 0.0000 0.5000 1